## a
First-principles (PBE with a Hubbard U) data for a relaxed structure of LiMnOF2, as listed in Alexandria.

Cell and atoms, written as CIF:
```
data_LiMnOF2
_chemical_formula_sum 'Li4 Mn4 O4 F8'
_cell_length_a 5.182
_cell_length_b 5.354
_cell_length_c 9.568
_cell_angle_alpha 83.68
_cell_angle_beta 80.29
_cell_angle_gamma 61.21
_symmetry_space_group_name_H-M 'P -1'
_symmetry_Int_Tables_number 2
loop_
_symmetry_equiv_pos_as_xyz
'x,y,z'
'-x,-y,-z'
loop_
_atom_site_label
_atom_site_type_symbol
_atom_site_fract_x
_atom_site_fract_y
_atom_site_fract_z
Li1 Li 0.187 0.208 0.490
Li2 Li 0.273 0.487 0.072
Mn1 Mn 0.141 0.826 0.753
Mn2 Mn 0.431 0.193 0.753
O1 O 0.394 0.499 0.856
O2 O 0.427 0.918 0.646
F1 F 0.080 0.181 0.872
F2 F 0.153 0.509 0.615
F3 F 0.166 0.886 0.367
F4 F 0.232 0.155 0.138
```

theoretical density: 3.4 g/cm³
V: 229.18 Å³ per cell

=====

## b
First-principles (PBE with a Hubbard U) data for a relaxed structure of LiMnOF2, as listed in Alexandria.

Cell and atoms, written as CIF:
```
data_LiMnOF2
_chemical_formula_sum 'Li8 Mn8 O8 F16'
_cell_length_a 9.740
_cell_length_b 8.915
_cell_length_c 5.316
_cell_angle_alpha 90.00
_cell_angle_beta 98.85
_cell_angle_gamma 90.00
_symmetry_space_group_name_H-M 'C 1 2/c 1'
_symmetry_Int_Tables_number 15
loop_
_symmetry_equiv_pos_as_xyz
'x,y,z'
'-x,-y,-z'
'-x,y,-z+1/2'
'x,-y,z+1/2'
'x+1/2,y+1/2,z'
'-x+1/2,-y+1/2,-z'
'-x+1/2,y+1/2,-z+1/2'
'x+1/2,-y+1/2,z+1/2'
loop_
_atom_site_label
_atom_site_type_symbol
_atom_site_fract_x
_atom_site_fract_y
_atom_site_fract_z
Li1 Li 0.195 0.087 0.334
Mn1 Mn 0.000 0.242 0.750
Mn2 Mn 0.000 0.410 0.250
O1 O 0.097 0.403 0.599
F1 F 0.121 0.246 0.128
F2 F 0.122 0.089 0.647
```

theoretical density: 3.4 g/cm³
V: 456.09 Å³ per cell

=====

Of them, the most stable is b and the least stable is a.

=====

## a
First-principles (PBE with a Hubbard U) data for a relaxed structure of LiMnOF2, as listed in Alexandria.

Cell and atoms, written as CIF:
```
data_LiMnOF2
_chemical_formula_sum 'Li4 Mn4 O4 F8'
_cell_length_a 8.621
_cell_length_b 5.355
_cell_length_c 5.692
_cell_angle_alpha 90.00
_cell_angle_beta 125.60
_cell_angle_gamma 90.00
_symmetry_space_group_name_H-M 'C 1 c 1'
_symmetry_Int_Tables_number 9
loop_
_symmetry_equiv_pos_as_xyz
'x,y,z'
'x,-y,z+1/2'
'x+1/2,y+1/2,z'
'x+1/2,-y+1/2,z+1/2'
loop_
_atom_site_label
_atom_site_type_symbol
_atom_site_fract_x
_atom_site_fract_y
_atom_site_fract_z
Li1 Li 0.000 0.212 0.000
Mn1 Mn 0.290 0.247 0.872
O1 O 0.037 0.130 0.657
F1 F 0.229 0.416 0.166
F2 F 0.367 0.072 0.625
```

theoretical density: 3.6 g/cm³
V: 213.67 Å³ per cell

=====

## b
First-principles (PBE with a Hubbard U) data for a relaxed structure of LiMnOF2, as listed in Alexandria.

Cell and atoms, written as CIF:
```
data_LiMnOF2
_chemical_formula_sum 'Li1 Mn1 O1 F2'
_cell_length_a 3.559
_cell_length_b 3.559
_cell_length_c 3.952
_cell_angle_alpha 90.00
_cell_angle_beta 90.00
_cell_angle_gamma 90.00
_symmetry_space_group_name_H-M 'P 4/m m m'
_symmetry_Int_Tables_number 123
_symmetry_space_group_name_Hall '-P 4 2'
loop_
_atom_site_label
_atom_site_type_symbol
_atom_site_fract_x
_atom_site_fract_y
_atom_site_fract_z
Li1 Li 0.000 0.000 0.000
Mn1 Mn 0.500 0.500 0.500
O1 O 0.000 0.000 0.500
F1 F 0.000 0.500 0.000
```

theoretical density: 3.8 g/cm³
V: 50.07 Å³ per cell

=====

## c
First-principles (PBE with a Hubbard U) data for a relaxed structure of LiMnOF2, as listed in Alexandria.

Cell and atoms, written as CIF:
```
data_LiMnOF2
_chemical_formula_sum 'Li4 Mn4 O4 F8'
_cell_length_a 5.380
_cell_length_b 7.086
_cell_length_c 5.533
_cell_angle_alpha 90.00
_cell_angle_beta 90.00
_cell_angle_gamma 90.00
_symmetry_space_group_name_H-M 'P n m a'
_symmetry_Int_Tables_number 62
loop_
_symmetry_equiv_pos_as_xyz
'x,y,z'
'-x,-y,-z'
'-x+1/2,-y,z+1/2'
'x+1/2,y,-z+1/2'
'x+1/2,-y+1/2,-z+1/2'
'-x+1/2,y+1/2,z+1/2'
'-x,y+1/2,-z'
'x,-y+1/2,z'
loop_
_atom_site_label
_atom_site_type_symbol
_atom_site_fract_x
_atom_site_fract_y
_atom_site_fract_z
Li1 Li 0.039 0.250 0.051
Mn1 Mn 0.000 0.000 0.500
O1 O 0.070 0.750 0.602
F1 F 0.172 0.563 0.148
```

theoretical density: 3.6 g/cm³
V: 210.95 Å³ per cell

=====

## d
First-principles (PBE with a Hubbard U) data for a relaxed structure of LiMnOF2, as listed in Alexandria.

Cell and atoms, written as CIF:
```
data_LiMnOF2
_chemical_formula_sum 'Li4 Mn4 O4 F8'
_cell_length_a 5.124
_cell_length_b 5.249
_cell_length_c 9.769
_cell_angle_alpha 77.68
_cell_angle_beta 76.37
_cell_angle_gamma 62.11
_symmetry_space_group_name_H-M 'P -1'
_symmetry_Int_Tables_number 2
loop_
_symmetry_equiv_pos_as_xyz
'x,y,z'
'-x,-y,-z'
loop_
_atom_site_label
_atom_site_type_symbol
_atom_site_fract_x
_atom_site_fract_y
_atom_site_fract_z
Li1 Li 0.066 0.079 0.295
Li2 Li 0.386 0.488 0.206
Mn1 Mn 0.159 0.160 0.987
Mn2 Mn 0.301 0.337 0.517
O1 O 0.057 0.401 0.384
O2 O 0.091 0.866 0.118
F1 F 0.207 0.502 0.878
F2 F 0.340 0.906 0.614
F3 F 0.405 0.154 0.119
F4 F 0.408 0.697 0.371
```

theoretical density: 3.4 g/cm³
V: 224.05 Å³ per cell

=====

Of them, the most stable is d and the least stable is b.

=====

## a
First-principles (PBE with a Hubbard U) data for a relaxed structure of Li4Mn5O9F, as listed in Alexandria.

Cell and atoms, written as CIF:
```
data_Li4Mn5O9F
_chemical_formula_sum 'Li4 Mn5 O9 F1'
_cell_length_a 5.171
_cell_length_b 5.406
_cell_length_c 7.882
_cell_angle_alpha 105.96
_cell_angle_beta 102.86
_cell_angle_gamma 102.57
_symmetry_space_group_name_H-M 'P 1'
_symmetry_Int_Tables_number 1
loop_
_symmetry_equiv_pos_as_xyz
'x,y,z'
loop_
_atom_site_label
_atom_site_type_symbol
_atom_site_fract_x
_atom_site_fract_y
_atom_site_fract_z
Li1 Li 0.000 0.000 0.000
Li2 Li 0.184 0.389 0.384
Li3 Li 0.399 0.760 0.767
Li4 Li 0.779 0.536 0.551
Mn1 Mn 0.077 0.170 0.677
Mn2 Mn 0.293 0.566 0.084
Mn3 Mn 0.486 0.980 0.473
Mn4 Mn 0.675 0.370 0.883
Mn5 Mn 0.885 0.763 0.279
O1 O 0.148 0.791 0.516
O2 O 0.224 0.920 0.224
O3 O 0.288 0.212 0.920
O4 O 0.425 0.372 0.646
O5 O 0.562 0.611 0.344
O6 O 0.639 0.718 0.029
O7 O 0.724 0.035 0.732
O8 O 0.841 0.170 0.449
O9 O 0.949 0.384 0.107
F1 F 0.035 0.619 0.816
```

theoretical density: 3.9 g/cm³
V: 197.21 Å³ per cell

=====

## b
First-principles (PBE with a Hubbard U) data for a relaxed structure of Li4Mn5O9F, as listed in Alexandria.

Cell and atoms, written as CIF:
```
data_Li4Mn5O9F
_chemical_formula_sum 'Li8 Mn10 O18 F2'
_cell_length_a 9.947
_cell_length_b 2.875
_cell_length_c 14.094
_cell_angle_alpha 90.00
_cell_angle_beta 105.61
_cell_angle_gamma 90.00
_symmetry_space_group_name_H-M 'C 1 m 1'
_symmetry_Int_Tables_number 8
loop_
_symmetry_equiv_pos_as_xyz
'x,y,z'
'x,-y,z'
'x+1/2,y+1/2,z'
'x+1/2,-y+1/2,z'
loop_
_atom_site_label
_atom_site_type_symbol
_atom_site_fract_x
_atom_site_fract_y
_atom_site_fract_z
Li1 Li 0.000 0.000 0.000
Li2 Li 0.087 0.500 0.203
Li3 Li 0.189 0.000 0.426
Li4 Li 0.413 0.000 0.787
Mn1 Mn 0.125 0.000 0.712
Mn2 Mn 0.208 0.500 0.912
Mn3 Mn 0.294 0.000 0.117
Mn4 Mn 0.376 0.500 0.321
Mn5 Mn 0.474 0.000 0.516
O1 O 0.009 0.500 0.381
O2 O 0.071 0.000 0.864
O3 O 0.156 0.500 0.071
O4 O 0.241 0.000 0.273
O5 O 0.257 0.500 0.764
O6 O 0.340 0.000 0.967
O7 O 0.344 0.500 0.473
O8 O 0.427 0.500 0.171
O9 O 0.492 0.000 0.659
F1 F 0.125 0.000 0.548
```

theoretical density: 4.0 g/cm³
V: 388.16 Å³ per cell

=====

Of them, the most stable is a and the least stable is b.